Nb3OsC: relaxed, GGA-PBE.

Values from the calculation:
Energy relative to the elements in meV per atom: 2247
SG: Pm-3m (221)
Density of states at the Fermi level in states/eV/f.u.: 8.6

Geometry as POSCAR:
```
Nb3OsC
1.0
4.833 0.000 0.000
0.000 4.833 0.000
0.000 0.000 4.833
Nb Os C
3 1 1
Cartesian
0.000 0.000 2.416
0.000 2.416 0.000
2.416 0.000 0.000
0.000 0.000 0.000
2.416 2.416 2.416
```